No. 1
8
Lattice="-4.673 0.098 1.261 0.429 -5.694 2.029 3.647 1.731 4.087" Properties=species:S:1:pos:R:3 comment="CsH3, optimized geometry, DFT PBE" n_ef_per_ev_fu=0.000 crystal_system=orthorhombic de_polymorph_ev_per_atom=0.000 pbc="T T T"
H -0.512 -2.693 6.123
H 3.417 -2.776 5.062
H -4.014 -1.089 2.316
H -1.796 -0.786 2.698
Cs -1.625 -3.692 3.556
Cs 1.028 -0.173 3.822
H 1.199 -3.079 4.680
H -0.085 -1.171 1.255

=====

No. 2
8
Lattice="-4.690 -1.582 2.710 1.368 -5.417 -0.794 1.291 -3.502 6.066" Properties=species:S:1:pos:R:3 comment="AlSiAs2, optimized geometry, DFT PBE" n_ef_per_ev_fu=2.969 crystal_system=tetragonal de_polymorph_ev_per_atom=0.012 formation_energy_uncorrected_mev_per_atom=-36 pbc="T T T"
Al -1.661 -3.499 0.958
Si -2.530 -4.292 4.867
As -0.283 -5.229 5.271
As -1.933 -8.772 6.223
Al 0.499 -6.209 3.115
Si 0.000 0.000 0.000
As -2.457 -2.548 3.122
As 0.611 -4.452 1.348

=====

No. 3
4
Lattice="1.945 0.000 8.894 -0.973 1.685 8.894 -0.973 -1.685 8.894" Properties=species:S:1:pos:R:3 comment="NbAsSe2, optimized geometry, DFT PBE" n_ef_per_ev_fu=1.588 crystal_system=trigonal formation_energy_uncorrected_mev_per_atom=-359 pbc="T T T"
As 0.000 0.000 0.000
Se 0.000 0.000 2.701
Se 0.000 0.000 23.980
Nb 0.000 0.000 13.340

=====

No. 4
8
Lattice="4.020 0.000 0.000 0.000 6.814 0.136 0.000 -2.366 6.459" Properties=species:S:1:pos:R:3 comment="LiCa2PuS4, optimized geometry, DFT PBE" n_ef_per_ev_fu=12.370 crystal_system=monoclinic formation_energy_uncorrected_mev_per_atom=-1804 pbc="T T T"
S 0.000 4.540 1.686
Li 2.010 3.407 0.068
Ca 0.000 2.224 3.298
S 2.010 3.330 5.012
S 0.000 -0.093 4.909
Ca 2.010 -1.183 3.230
Pu 0.000 0.000 0.000
S 2.010 1.117 1.583

=====

No. 5
4
Lattice="-2.211 -4.621 -2.301 -0.102 -0.586 5.584 -2.736 1.268 0.083" Properties=species:S:1:pos:R:3 comment="TaTl2Se, optimized geometry, DFT PBE" n_ef_per_ev_fu=3.830 crystal_system=orthorhombic de_polymorph_ev_per_atom=0.551 formation_energy_uncorrected_mev_per_atom=493 pbc="T T T"
Tl 0.000 0.000 0.000
Se -2.473 -1.676 -1.109
Ta -1.419 0.341 2.833
Tl -1.157 -2.603 1.641

=====

No. 6
12
Lattice="-3.531 -6.726 5.956 -4.309 -8.603 0.774 0.682 -9.085 3.188" Properties=species:S:1:pos:R:3 comment="Ca3Mg2Zn7, optimized geometry, DFT PBE" n_ef_per_ev_fu=5.399 crystal_system=trigonal formation_enthalpy_0k_mev_per_atom=-220 pbc="T T T"
Ca -6.145 -20.958 8.514
Zn -4.735 -13.460 7.099
Zn -5.129 -14.410 4.477
Zn -2.029 -10.004 5.441
Ca -1.013 -3.456 1.404
Ca 0.000 0.000 0.000
Mg -4.769 -16.267 6.608
Zn -4.554 -9.759 4.219
Zn -2.604 -14.654 5.699
Zn -3.579 -12.207 4.959
Mg -2.389 -8.147 3.310
Zn -2.423 -10.953 2.819

=====

No. 7
20
Lattice="6.904 0.000 0.000 0.000 8.733 -0.898 0.000 -2.523 12.124" Properties=species:S:1:pos:R:3 comment="Ac3AgSn, optimized geometry, DFT PBE" n_ef_per_ev_fu=4.565 crystal_system=monoclinic formation_enthalpy_0k_mev_per_atom=-298 pbc="T T T"
Ac 4.393 -0.318 2.571
Ac 3.156 0.573 6.584
Ac 3.749 5.637 4.641
Ac 6.608 4.375 10.703
Ac 5.963 -1.580 8.633
Ac 2.511 6.528 8.654
Ag 6.376 0.243 5.991
Sn 5.930 5.121 1.402
Ac 2.581 4.512 1.146
Ag 3.980 1.505 -0.071
Sn 2.478 2.350 3.762
Sn 4.426 3.860 7.464
Sn 0.974 1.089 9.823
Ag 2.924 4.705 11.296
Ac 0.941 7.790 2.592
Ag 0.528 5.966 5.234
Ac 6.033 2.960 4.018
Ac 0.871 3.250 7.208
Ac 4.323 1.698 10.080
Ac 0.296 1.835 0.522

=====

No. 8
5
Lattice="-0.734 0.715 5.958 -4.647 -2.787 -0.238 3.031 -5.137 0.990" Properties=species:S:1:pos:R:3 comment="TaBiTePb2, optimized geometry, DFT PBE" n_ef_per_ev_fu=3.895 crystal_system=tetragonal formation_energy_uncorrected_mev_per_atom=1206 pbc="T T T"
Pb -0.367 0.358 2.979
Ta -2.323 -1.394 -0.119
Bi 0.000 0.000 0.000
Pb 1.515 -2.568 0.495
Te -1.175 -3.604 3.355

=====

No. 9
5
Lattice="3.991 0.000 0.000 0.000 3.991 0.000 0.000 0.000 5.154" Properties=species:S:1:pos:R:3 comment="TaZnIN2, optimized geometry, DFT PBE" n_ef_per_ev_fu=3.791 crystal_system=tetragonal de_polymorph_ev_per_atom=1.614 formation_energy_uncorrected_mev_per_atom=1960 pbc="T T T"
N 1.996 0.000 0.000
I 0.000 0.000 2.577
Ta 1.996 1.996 2.577
Zn 0.000 0.000 0.000
N 0.000 1.996 0.000

=====

No. 10
20
Lattice="-2.493 4.084 3.249 -4.902 -3.068 0.095 8.522 -12.911 22.766" Properties=species:S:1:pos:R:3 comment="K4RbNa15, optimized geometry, DFT PBE" n_ef_per_ev_fu=10.625 crystal_system=tetragonal formation_enthalpy_0k_mev_per_atom=39 pbc="T T T"
Na 3.115 -9.812 19.869
K 1.723 -2.611 4.604
K 6.799 -10.300 18.162
Na -1.565 -2.877 2.415
Na 1.315 -1.839 8.468
Na 0.111 -5.415 6.891
Na 6.390 -9.526 22.023
Rb 0.000 0.000 0.000
Na -0.286 -4.659 10.784
Na -0.360 0.699 3.992
Na 3.510 -10.564 15.970
Na 1.414 -7.235 15.326
Na 4.714 -6.988 17.547
Na -1.987 -2.083 6.241
Na 3.015 -4.414 13.007
Na -3.697 0.508 1.672
K 3.411 -5.167 9.112
K 5.111 -7.744 13.654
Na 5.185 -13.102 20.446
Na 1.810 -7.989 11.430

=====

No. 11
6
Lattice="3.131 0.000 -0.561 -0.258 5.120 -1.441 0.565 0.689 12.185" Properties=species:S:1:pos:R:3 comment="NaTeN, optimized geometry, DFT PBE" n_ef_per_ev_fu=1.641 crystal_system=orthorhombic de_polymorph_ev_per_atom=0.004 formation_energy_uncorrected_mev_per_atom=-347 pbc="T T T"
Te 2.902 2.168 7.185
Na 1.077 4.517 6.016
Te 0.537 3.640 2.999
N 1.539 0.535 -0.431
N 1.335 4.584 -1.571
Na 2.362 1.292 4.168

=====

No. 12
12
Lattice="6.359 -0.003 0.007 -3.181 5.506 0.007 -1.079 -1.869 11.952" Properties=species:S:1:pos:R:3 comment="La3TbNd6Dy2, optimized geometry, DFT PBE" n_ef_per_ev_fu=20.056 crystal_system=monoclinic formation_enthalpy_0k_mev_per_atom=19 pbc="T T T"
Nd -0.017 3.643 9.046
La 4.229 -0.019 5.983
Tb 0.000 0.000 0.000
Nd -0.015 -0.026 9.039
La 1.049 1.817 5.983
Dy -0.001 3.670 0.007
Dy 3.179 1.833 0.007
La -2.130 3.653 5.983
Nd 2.113 3.659 2.927
Nd 3.164 1.806 9.046
Nd 2.116 -0.009 2.920
Nd -1.065 1.828 2.920

=====

| no. | raw total energy (eV per atom) | mass density (g/cm³) |
| --- | --- | --- |
| 1 | -2.809 | 2.95 |
| 2 | -4.652 | 3.62 |
| 3 | -5.781 | 6.19 |
| 4 | -6.398 | 4.28 |
| 5 | -4.524 | 12.30 |
| 6 | -1.729 | 4.26 |
| 7 | -4.134 | 8.43 |
| 8 | -4.053 | 7.81 |
| 9 | -4.305 | 8.11 |
| 10 | -1.218 | 1.06 |
| 11 | -4.609 | 2.73 |
| 12 | -4.750 | 7.01 |